Entry 1:
# Sc7In6 PBE relaxed
# Total magnetization = 0.0 μB/f.u.
# Uncorrected energy = -61.64 eV per formula unit
# Formation energy from the elements = -0.07 eV per atom
data_Sc7In6
_cell_length_a 6.0433
_cell_length_b 6.0433
_cell_length_c 30.3781
_cell_angle_alpha 90.00
_cell_angle_beta 90.00
_cell_angle_gamma 120.00
_symmetry_space_group_name_H-M 'R -3 m'
_symmetry_Int_Tables_number 166
_symmetry_space_group_name_Hall '-R 3 2"'
loop_
_atom_site_label
_atom_site_fract_x
_atom_site_fract_y
_atom_site_fract_z
Sc1 0.0000 0.0000 0.0000
Sc2 0.0017 0.5008 0.4136
In1 0.0000 0.0000 0.1671
In2 0.0000 0.0000 0.3455
In3 0.0000 0.0000 0.4460


Entry 2:
# CsTi3P PBE relaxed
# Total magnetization = 2.4 μB/f.u.
# Distance to the lowest polymorph of the same formula = 1.645 eV per atom
# Uncorrected energy = -19.13 eV per formula unit
# Formation energy from the elements = 2.16 eV per atom
data_CsTi3P
_cell_length_a 4.9311
_cell_length_b 4.9311
_cell_length_c 4.9311
_cell_angle_alpha 90.00
_cell_angle_beta 90.00
_cell_angle_gamma 90.00
_symmetry_space_group_name_H-M 'P m -3 m'
_symmetry_Int_Tables_number 221
_symmetry_space_group_name_Hall '-P 4 2 3'
loop_
_atom_site_label
_atom_site_fract_x
_atom_site_fract_y
_atom_site_fract_z
Cs1 0.0000 0.0000 0.0000
Ti1 0.0000 0.0000 0.5000
P1 0.5000 0.5000 0.5000


Entry 3:
# LaGaMo3 PBE relaxed
# Total magnetization = 0.0 μB/f.u.
# Distance to the lowest polymorph of the same formula = 1.144 eV per atom
# Uncorrected energy = -29.08 eV per formula unit
# Formation energy from the elements = 2.27 eV per atom
data_LaGaMo3
_cell_length_a 4.8181
_cell_length_b 4.8181
_cell_length_c 4.8181
_cell_angle_alpha 90.00
_cell_angle_beta 90.00
_cell_angle_gamma 90.00
_symmetry_space_group_name_H-M 'P m -3 m'
_symmetry_Int_Tables_number 221
_symmetry_space_group_name_Hall '-P 4 2 3'
loop_
_atom_site_label
_atom_site_fract_x
_atom_site_fract_y
_atom_site_fract_z
La1 0.0000 0.0000 0.0000
Ga1 0.5000 0.5000 0.5000
Mo1 0.0000 0.0000 0.5000


Entry 4:
# Tl2FeAu PBE relaxed
# Total magnetization = 0.0 μB/f.u.
# Distance to the lowest polymorph of the same formula = 0.436 eV per atom
# Uncorrected energy = -13.59 eV per formula unit
# Formation energy from the elements = 0.72 eV per atom
data_Tl2FeAu
_cell_length_a 6.8061
_cell_length_b 6.8061
_cell_length_c 6.8061
_cell_angle_alpha 90.00
_cell_angle_beta 90.00
_cell_angle_gamma 90.00
_symmetry_space_group_name_H-M 'F m -3 m'
_symmetry_Int_Tables_number 225
_symmetry_space_group_name_Hall '-F 4 2 3'
loop_
_atom_site_label
_atom_site_fract_x
_atom_site_fract_y
_atom_site_fract_z
Tl1 0.2500 0.2500 0.2500
Fe1 0.0000 0.0000 0.0000
Au1 0.0000 0.0000 0.5000


Entry 5:
# Ce6ThSc2 PBE relaxed
# Total magnetization = 0.0 μB/f.u.
# Uncorrected energy = -55.16 eV per formula unit
# Formation energy from the elements = 0.06 eV per atom
data_Ce6ThSc2
_cell_length_a 15.7143
_cell_length_b 9.3794
_cell_length_c 3.2946
_cell_angle_alpha 90.00
_cell_angle_beta 90.01
_cell_angle_gamma 90.00
_symmetry_space_group_name_H-M 'C 1 2/m 1'
_symmetry_Int_Tables_number 12
_symmetry_space_group_name_Hall '-C 2y'
loop_
_atom_site_label
_atom_site_fract_x
_atom_site_fract_y
_atom_site_fract_z
Ce1 0.0000 0.1626 0.0000
Ce2 0.1684 0.3179 0.9984
Th1 0.0000 0.5000 0.5000
Sc1 0.1696 0.0000 0.5008


Entry 6:
# Nd5Sb2Au PBE relaxed
# Total magnetization = 0.0 μB/f.u.
# Energy relative to the elements, uncorrected = -585.9 meV per atom
# Uncorrected energy = -40.05 eV per formula unit
data_Nd5Sb2Au
_cell_length_a 5.8975
_cell_length_b 9.7784
_cell_length_c 17.2030
_cell_angle_alpha 90.00
_cell_angle_beta 90.00
_cell_angle_gamma 90.00
_symmetry_space_group_name_H-M 'C m c m'
_symmetry_Int_Tables_number 63
_symmetry_space_group_name_Hall '-C 2c 2'
loop_
_atom_site_label
_atom_site_fract_x
_atom_site_fract_y
_atom_site_fract_z
Nd1 0.0000 0.0810 0.0916
Nd2 0.0000 0.2280 0.7500
Nd3 0.0000 0.4115 0.1026
Sb1 0.0000 0.2583 0.5680
Au1 0.0000 0.2028 0.2500


Entry 7:
# CaZn2PbAu PBE relaxed
# Total magnetization = 0.0 μB/f.u.
# Uncorrected energy = -10.45 eV per formula unit
# Formation energy from the elements = 0.22 eV per atom
data_CaZn2PbAu
_cell_length_a 5.3632
_cell_length_b 5.3632
_cell_length_c 6.6375
_cell_angle_alpha 90.00
_cell_angle_beta 90.00
_cell_angle_gamma 90.00
_symmetry_space_group_name_H-M 'P 4/m m m'
_symmetry_Int_Tables_number 123
_symmetry_space_group_name_Hall '-P 4 2'
loop_
_atom_site_label
_atom_site_fract_x
_atom_site_fract_y
_atom_site_fract_z
Ca1 0.0000 0.0000 0.0000
Zn1 0.0000 0.5000 0.5000
Pb1 0.5000 0.5000 0.0000
Au1 0.5000 0.5000 0.5000


Entry 8:
# Nd4Ho2Er3 PBE relaxed
# Total magnetization = 0.0 μB/f.u.
# Distance to the lowest polymorph of the same formula = 0.029 eV per atom
# Uncorrected energy = -41.48 eV per formula unit
# Formation energy from the elements = 0.05 eV per atom
data_Nd4Ho2Er3
_cell_length_a 9.7917
_cell_length_b 16.9717
_cell_length_c 7.0650
_cell_angle_alpha 90.00
_cell_angle_beta 90.00
_cell_angle_gamma 90.00
_symmetry_space_group_name_H-M 'C c c m'
_symmetry_Int_Tables_number 66
_symmetry_space_group_name_Hall '-C 2 2c'
loop_
_atom_site_label
_atom_site_fract_x
_atom_site_fract_y
_atom_site_fract_z
Nd1 0.1481 0.1733 0.0000
Nd2 0.1652 0.4845 0.0000
Ho1 0.1878 0.1606 0.5000
Er1 0.0000 0.0000 0.2500
Er2 0.0000 0.3293 0.2500


Entry 9:
# MgAlO PBE relaxed
# Total magnetization = 0.0 μB/f.u.
# Distance to the lowest polymorph of the same formula = 0.010 eV per atom
# Energy relative to the elements, uncorrected = -1523.7 meV per atom
# Uncorrected energy = -14.87 eV per formula unit
data_MgAlO
_cell_length_a 3.1783
_cell_length_b 3.1783
_cell_length_c 15.1766
_cell_angle_alpha 90.00
_cell_angle_beta 90.00
_cell_angle_gamma 120.00
_symmetry_space_group_name_H-M 'R 3 m'
_symmetry_Int_Tables_number 160
_symmetry_space_group_name_Hall 'R 3 -2"'
loop_
_atom_site_label
_atom_site_fract_x
_atom_site_fract_y
_atom_site_fract_z
Mg1 0.0000 0.0000 0.0000
Al1 0.0000 0.0000 0.4896
O1 0.0000 0.0000 0.6096


Entry 10:
# BaTlRh2 PBE relaxed
# Total magnetization = 0.0 μB/f.u.
# Uncorrected energy = -18.40 eV per formula unit
# Formation energy from the elements = 0.15 eV per atom
data_BaTlRh2
_cell_length_a 11.1145
_cell_length_b 3.2302
_cell_length_c 5.2280
_cell_angle_alpha 90.00
_cell_angle_beta 107.81
_cell_angle_gamma 90.00
_symmetry_space_group_name_H-M 'C 1 m 1'
_symmetry_Int_Tables_number 8
_symmetry_space_group_name_Hall 'C -2y'
loop_
_atom_site_label
_atom_site_fract_x
_atom_site_fract_y
_atom_site_fract_z
Ba1 0.0000 0.0000 0.0000
Tl1 0.2898 0.5000 0.3700
Rh1 0.0361 0.5000 0.5138
Rh2 0.2290 0.0000 0.8027


Entry 11:
# NiB3S PBE relaxed
# Total magnetization = 0.0 μB/f.u.
# Distance to the lowest polymorph of the same formula = 0.462 eV per atom
# Energy relative to the elements, uncorrected = 1724.6 meV per atom
# Uncorrected energy = -21.32 eV per formula unit
data_NiB3S
_cell_length_a 3.7564
_cell_length_b 3.7564
_cell_length_c 3.7564
_cell_angle_alpha 90.00
_cell_angle_beta 90.00
_cell_angle_gamma 90.00
_symmetry_space_group_name_H-M 'P m -3 m'
_symmetry_Int_Tables_number 221
_symmetry_space_group_name_Hall '-P 4 2 3'
loop_
_atom_site_label
_atom_site_fract_x
_atom_site_fract_y
_atom_site_fract_z
Ni1 0.0000 0.0000 0.0000
B1 0.0000 0.5000 0.5000
S1 0.5000 0.5000 0.5000


Entry 12:
# CaSeBr2 PBE relaxed
# Total magnetization = 0.0 μB/f.u.
# Distance to the lowest polymorph of the same formula = 0.195 eV per atom
# Energy relative to the elements, uncorrected = -1039.7 meV per atom
# Uncorrected energy = -12.99 eV per formula unit
data_CaSeBr2
_cell_length_a 4.2848
_cell_length_b 4.2848
_cell_length_c 7.4607
_cell_angle_alpha 90.00
_cell_angle_beta 90.00
_cell_angle_gamma 90.00
_symmetry_space_group_name_H-M 'P 4 m m'
_symmetry_Int_Tables_number 99
_symmetry_space_group_name_Hall 'P 4 -2'
loop_
_atom_site_label
_atom_site_fract_x
_atom_site_fract_y
_atom_site_fract_z
Ca1 0.0000 0.0000 0.0000
Se1 0.5000 0.5000 0.0051
Br1 0.0000 0.0000 0.3522
Br2 0.5000 0.5000 0.6815


Entry 13:
# CeSbBr6 PBE relaxed
# Total magnetization = 1.0 μB/f.u.
# Energy relative to the elements, uncorrected = -1164.4 meV per atom
# Uncorrected energy = -29.41 eV per formula unit
data_CeSbBr6
_cell_length_a 7.1400
_cell_length_b 13.1545
_cell_length_c 7.1397
_cell_angle_alpha 90.00
_cell_angle_beta 106.80
_cell_angle_gamma 90.00
_symmetry_space_group_name_H-M 'C 1 2/m 1'
_symmetry_Int_Tables_number 12
_symmetry_space_group_name_Hall '-C 2y'
loop_
_atom_site_label
_atom_site_fract_x
_atom_site_fract_y
_atom_site_fract_z
Ce1 0.0000 0.0000 0.0000
Sb1 0.0000 0.5000 0.5000
Br1 0.2402 0.3519 0.7440
Br2 0.2499 0.0000 0.7430


Entry 14:
# Tb3Au2 PBE relaxed
# Total magnetization = 0.0 μB/f.u.
# Distance to the lowest polymorph of the same formula = 0.089 eV per atom
# Uncorrected energy = -23.48 eV per formula unit
# Formation energy from the elements = -0.61 eV per atom
data_Tb3Au2
_cell_length_a 8.6785
_cell_length_b 5.0266
_cell_length_c 6.2694
_cell_angle_alpha 90.00
_cell_angle_beta 90.12
_cell_angle_gamma 90.00
_symmetry_space_group_name_H-M 'C 1 2/m 1'
_symmetry_Int_Tables_number 12
_symmetry_space_group_name_Hall '-C 2y'
loop_
_atom_site_label
_atom_site_fract_x
_atom_site_fract_y
_atom_site_fract_z
Tb1 0.0000 0.0000 0.0000
Tb2 0.1669 0.5000 0.6685
Au1 0.1669 0.5000 0.1937


Entry 15:
# RbNi3Se3 PBE relaxed
# Total magnetization = 0.0 μB/f.u.
# Distance to the lowest polymorph of the same formula = 0.000 eV per atom
# Energy relative to the elements, uncorrected = -504.1 meV per atom
# Uncorrected energy = -32.29 eV per formula unit
data_RbNi3Se3
_cell_length_a 9.1085
_cell_length_b 9.1085
_cell_length_c 4.3822
_cell_angle_alpha 90.00
_cell_angle_beta 90.00
_cell_angle_gamma 120.00
_symmetry_space_group_name_H-M 'P 63/m'
_symmetry_Int_Tables_number 176
_symmetry_space_group_name_Hall '-P 6c'
loop_
_atom_site_label
_atom_site_fract_x
_atom_site_fract_y
_atom_site_fract_z
Rb1 0.3333 0.6667 0.2500
Ni1 0.0338 0.8376 0.2500
Se1 0.0551 0.7366 0.7500


Entry 16:
# Sm7Mg3In PBE relaxed
# Total magnetization = 0.0 μB/f.u.
# Uncorrected energy = -39.78 eV per formula unit
# Formation energy from the elements = 0.07 eV per atom
data_Sm7Mg3In
_cell_length_a 5.8648
_cell_length_b 10.2626
_cell_length_c 11.5115
_cell_angle_alpha 90.00
_cell_angle_beta 90.00
_cell_angle_gamma 90.00
_symmetry_space_group_name_H-M 'I m m m'
_symmetry_Int_Tables_number 71
_symmetry_space_group_name_Hall '-I 2 2'
loop_
_atom_site_label
_atom_site_fract_x
_atom_site_fract_y
_atom_site_fract_z
Sm1 0.0000 0.0000 0.0000
Sm2 0.0000 0.1908 0.5000
Sm3 0.0000 0.3298 0.2317
Mg1 0.0000 0.0000 0.2769
Mg2 0.0000 0.5000 0.0000
In1 0.0000 0.5000 0.5000


Entry 17:
# LiGd2Pb PBE relaxed
# Total magnetization = 15.2 μB/f.u.
# Distance to the lowest polymorph of the same formula = 0.027 eV per atom
# Uncorrected energy = -35.03 eV per formula unit
# Formation energy from the elements = -0.31 eV per atom
data_LiGd2Pb
_cell_length_a 7.5670
_cell_length_b 7.5670
_cell_length_c 7.5670
_cell_angle_alpha 90.00
_cell_angle_beta 90.00
_cell_angle_gamma 90.00
_symmetry_space_group_name_H-M 'F m -3 m'
_symmetry_Int_Tables_number 225
_symmetry_space_group_name_Hall '-F 4 2 3'
loop_
_atom_site_label
_atom_site_fract_x
_atom_site_fract_y
_atom_site_fract_z
Li1 0.0000 0.0000 0.0000
Gd1 0.2500 0.2500 0.2500
Pb1 0.0000 0.0000 0.5000


Entry 18:
# VCu2Pt PBE relaxed
# Total magnetization = 2.4 μB/f.u.
# Uncorrected energy = -21.87 eV per formula unit
# Formation energy from the elements = 0.37 eV per atom
data_VCu2Pt
_cell_length_a 6.9027
_cell_length_b 6.9027
_cell_length_c 5.0360
_cell_angle_alpha 90.00
_cell_angle_beta 90.00
_cell_angle_gamma 90.00
_symmetry_space_group_name_H-M 'I -4 2 d'
_symmetry_Int_Tables_number 122
_symmetry_space_group_name_Hall 'I -4 2bw'
loop_
_atom_site_label
_atom_site_fract_x
_atom_site_fract_y
_atom_site_fract_z
V1 0.0000 0.0000 0.0000
Cu1 0.2503 0.2500 0.1250
Pt1 0.0000 0.0000 0.5000


Entry 19:
# SmDy2Lu PBE relaxed
# Total magnetization = 0.0 μB/f.u.
# Distance to the lowest polymorph of the same formula = 0.124 eV per atom
# Uncorrected energy = -17.85 eV per formula unit
# Formation energy from the elements = 0.15 eV per atom
data_SmDy2Lu
_cell_length_a 7.9905
_cell_length_b 7.9905
_cell_length_c 7.9905
_cell_angle_alpha 90.00
_cell_angle_beta 90.00
_cell_angle_gamma 90.00
_symmetry_space_group_name_H-M 'F m -3 m'
_symmetry_Int_Tables_number 225
_symmetry_space_group_name_Hall '-F 4 2 3'
loop_
_atom_site_label
_atom_site_fract_x
_atom_site_fract_y
_atom_site_fract_z
Sm1 0.0000 0.0000 0.0000
Dy1 0.2500 0.2500 0.2500
Lu1 0.0000 0.0000 0.5000


Entry 20:
# Cs3Rb12Au5 PBE relaxed
# Total magnetization = 0.0 μB/f.u.
# Uncorrected energy = -31.36 eV per formula unit
# Formation energy from the elements = -0.04 eV per atom
data_Cs3Rb12Au5
_cell_length_a 23.2084
_cell_length_b 23.2084
_cell_length_c 23.2084
_cell_angle_alpha 90.00
_cell_angle_beta 90.00
_cell_angle_gamma 90.00
_symmetry_space_group_name_H-M 'I a -3 d'
_symmetry_Int_Tables_number 230
_symmetry_space_group_name_Hall '-I 4bd 2c 3'
loop_
_atom_site_label
_atom_site_fract_x
_atom_site_fract_y
_atom_site_fract_z
Cs1 0.0000 0.2500 0.1250
Rb1 0.0465 0.1355 0.9499
Au1 0.0000 0.0000 0.0000
Au2 0.0000 0.2500 0.3750